(1)
CsRb2NaLi | PBE | optimized geometry

Unit cell a=7.260 b=7.260 c=7.576 alpha=90.00 beta=90.00 gamma=90.00
Space group P4/mmm (No. 123)
Inequivalent atoms, fractional coordinates:
Cs1 0.000 0.000 0.000 [1 per cell]
Rb1 0.000 0.500 0.500 [2 per cell]
Na1 0.500 0.500 0.000 [1 per cell]
Li1 0.000 0.000 0.500 [1 per cell]

## Properties
* uncorrected energy: -1.011 eV/atom
* DOS(E_F): 0.77 states/eV/atom
* total moment: 0.00 μB per cell
* DFT formation energy: 194 meV/atom
* relative energy among the computed polymorphs: 0.0774 eV/atom

(2)
Dy5PaCo4 | PBE | optimized geometry

Unit cell a=16.383 b=4.199 c=6.959 alpha=90.00 beta=110.02 gamma=90.00
Space group C2/m (No. 12)
Inequivalent atoms, fractional coordinates:
Dy1 0.000 0.000 0.000 [2 per cell]
Dy2 0.166 0.500 0.552 [4 per cell]
Dy3 0.174 0.500 0.054 [4 per cell]
Pa1 0.000 0.000 0.500 [2 per cell]
Co1 0.014 0.500 0.712 [4 per cell]
Co2 0.139 0.000 0.785 [4 per cell]

## Properties
* uncorrected energy: -6.338 eV/atom
* DOS(E_F): 0.77 states/eV/atom
* total moment: 0.00 μB per cell
* DFT formation energy: -245 meV/atom

(3)
Ba2WCl | PBE | optimized geometry

Unit cell a=3.803 b=3.980 c=18.112 alpha=90.00 beta=90.00 gamma=90.00
Space group Imm2 (No. 44)
Inequivalent atoms, fractional coordinates:
Ba1 0.000 0.000 0.000 [2 per cell]
Ba2 0.000 0.500 0.258 [2 per cell]
W1 0.000 0.000 0.395 [2 per cell]
Cl1 0.000 0.500 0.657 [2 per cell]

## Properties
* uncorrected energy: -4.426 eV/atom
* DOS(E_F): 0.81 states/eV/atom
* total moment: 5.38 μB per cell
* uncorrected formation energy: 0.24 eV per atom
* relative energy among the computed polymorphs: 0.0824 eV/atom

(4)
PuCd3Hg7 | PBE | optimized geometry

Unit cell a=3.188 b=26.147 c=13.851 alpha=90.00 beta=90.00 gamma=90.00
Space group Cmcm (No. 63)
Inequivalent atoms, fractional coordinates:
Pu1 0.000 0.027 0.250 [4 per cell]
Cd1 0.000 0.159 0.250 [4 per cell]
Cd2 0.000 0.160 0.554 [8 per cell]
Hg1 0.000 0.269 0.612 [8 per cell]
Hg2 0.000 0.336 0.250 [4 per cell]
Hg3 0.000 0.409 0.589 [8 per cell]
Hg4 0.000 0.447 0.118 [8 per cell]

## Properties
* uncorrected energy: -1.763 eV/atom
* DOS(E_F): 1.14 states/eV/atom
* total moment: 23.71 μB per cell
* DFT formation energy: -18 meV/atom

(5)
TlIn2Bi2Pb2 | PBE | optimized geometry

Unit cell a=8.883 b=5.224 c=10.598 alpha=90.00 beta=90.43 gamma=90.00
Space group C2/m (No. 12)
Inequivalent atoms, fractional coordinates:
Tl1 0.000 0.000 0.000 [2 per cell]
In1 0.163 0.500 0.904 [4 per cell]
Bi1 0.168 0.500 0.277 [4 per cell]
Pb1 0.168 0.500 0.592 [4 per cell]

## Properties
* uncorrected energy: -3.200 eV/atom
* DOS(E_F): 0.31 states/eV/atom
* total moment: 0.00 μB per cell
* DFT formation energy: 89 meV/atom

(6)
Ta2AlAg | PBE | optimized geometry

Unit cell a=2.879 b=4.297 c=5.584 alpha=90.00 beta=90.78 gamma=90.00
Space group P2/m (No. 10)
Inequivalent atoms, fractional coordinates:
Ta1 0.005 0.000 0.258 [2 per cell]
Al1 0.500 0.500 0.500 [1 per cell]
Ag1 0.500 0.500 0.000 [1 per cell]

## Properties
* uncorrected energy: -7.521 eV/atom
* DOS(E_F): 0.67 states/eV/atom
* total moment: 0.00 μB per cell
* DFT formation energy: 54 meV/atom
* relative energy among the computed polymorphs: 0.0615 eV/atom

(7)
BaMgIn2Sn | PBE | optimized geometry

Unit cell a=4.947 b=4.951 c=12.487 alpha=90.00 beta=90.00 gamma=90.00
Space group Imm2 (No. 44)
Inequivalent atoms, fractional coordinates:
Ba1 0.000 0.000 0.000 [2 per cell]
Mg1 0.000 0.500 0.748 [2 per cell]
In1 0.000 0.000 0.379 [2 per cell]
In2 0.000 0.500 0.251 [2 per cell]
Sn1 0.000 0.000 0.612 [2 per cell]

## Properties
* uncorrected energy: -2.984 eV/atom
* DOS(E_F): 0.37 states/eV/atom
* total moment: 0.00 μB per cell
* DFT formation energy: -385 meV/atom

(8)
GeOsPb3 | PBE | optimized geometry

Unit cell a=5.383 b=5.383 c=5.383 alpha=90.00 beta=90.00 gamma=90.00
Space group Pm-3m (No. 221)
Inequivalent atoms, fractional coordinates:
Ge1 0.000 0.000 0.000 [1 per cell]
Os1 0.500 0.500 0.500 [1 per cell]
Pb1 0.000 0.000 0.500 [3 per cell]

## Properties
* uncorrected energy: -3.851 eV/atom
* DOS(E_F): 0.98 states/eV/atom
* total moment: 2.15 μB per cell
* DFT formation energy: 1543 meV/atom
* relative energy among the computed polymorphs: 0.8612 eV/atom

(9)
SmCN3 | PBE | optimized geometry

Unit cell a=3.545 b=5.156 c=6.113 alpha=90.00 beta=102.34 gamma=90.00
Space group P2_1/m (No. 11)
Inequivalent atoms, fractional coordinates:
Sm1 0.086 0.250 0.318 [2 per cell]
C1 0.407 0.750 0.196 [2 per cell]
N1 0.284 0.750 0.394 [2 per cell]
N2 0.461 0.510 0.110 [4 per cell]

## Properties
* uncorrected energy: -8.316 eV/atom
* total moment: 0.00 μB per cell
* uncorrected formation energy: -0.53 eV per atom

(10)
ThIn3Se6 | PBE | optimized geometry

Unit cell a=11.250 b=4.284 c=12.448 alpha=90.00 beta=111.81 gamma=90.00
Space group P2_1/m (No. 11)
Inequivalent atoms, fractional coordinates:
Th1 0.153 0.250 0.439 [2 per cell]
In1 0.117 0.750 0.073 [2 per cell]
In2 0.235 0.250 0.828 [2 per cell]
In3 0.491 0.250 0.333 [2 per cell]
Se1 0.016 0.750 0.257 [2 per cell]
Se2 0.123 0.750 0.590 [2 per cell]
Se3 0.242 0.250 0.210 [2 per cell]
Se4 0.300 0.750 0.967 [2 per cell]
Se5 0.354 0.750 0.445 [2 per cell]
Se6 0.380 0.250 0.699 [2 per cell]

## Properties
* uncorrected energy: -4.485 eV/atom
* DOS(E_F): 0.40 states/eV/atom
* total moment: 0.00 μB per cell
* uncorrected formation energy: -0.83 eV per atom

(11)
Be2PSe | PBE | optimized geometry

Unit cell a=4.844 b=5.560 c=5.186 alpha=90.00 beta=107.06 gamma=90.00
Space group Cm (No. 8)
Inequivalent atoms, fractional coordinates:
Be1 0.000 0.213 0.000 [4 per cell]
P1 0.273 0.500 0.220 [2 per cell]
Se1 0.212 0.000 0.724 [2 per cell]

## Properties
* uncorrected energy: -4.350 eV/atom
* DOS(E_F): 0.07 states/eV/atom
* total moment: 0.00 μB per cell
* uncorrected formation energy: -0.26 eV per atom
* relative energy among the computed polymorphs: 0.0763 eV/atom

(12)
NdDy4Ag | PBE | optimized geometry

Unit cell a=3.584 b=3.584 c=13.906 alpha=90.00 beta=90.00 gamma=90.00
Space group P4/mmm (No. 123)
Inequivalent atoms, fractional coordinates:
Nd1 0.000 0.000 0.000 [1 per cell]
Dy1 0.000 0.000 0.364 [2 per cell]
Dy2 0.500 0.500 0.183 [2 per cell]
Ag1 0.500 0.500 0.500 [1 per cell]

## Properties
* uncorrected energy: -4.415 eV/atom
* DOS(E_F): 1.28 states/eV/atom
* total moment: 0.00 μB per cell
* DFT formation energy: -77 meV/atom
* relative energy among the computed polymorphs: 0.0000 eV/atom

(13)
K2CdRe | PBE | optimized geometry

Unit cell a=2.902 b=5.413 c=12.067 alpha=90.00 beta=90.00 gamma=90.00
Space group Immm (No. 71)
Inequivalent atoms, fractional coordinates:
K1 0.000 0.000 0.244 [4 per cell]
Cd1 0.000 0.500 0.000 [2 per cell]
Re1 0.000 0.500 0.500 [2 per cell]

## Properties
* uncorrected energy: -2.693 eV/atom
* DOS(E_F): 0.79 states/eV/atom
* total moment: 0.42 μB per cell
* DFT formation energy: 1196 meV/atom

(14)
TbNi2Rh4 | PBE | optimized geometry

Unit cell a=4.998 b=6.530 c=6.541 alpha=90.00 beta=90.00 gamma=90.00
Space group Immm (No. 71)
Inequivalent atoms, fractional coordinates:
Tb1 0.000 0.000 0.000 [2 per cell]
Ni1 0.250 0.000 0.500 [4 per cell]
Rh1 0.000 0.301 0.301 [8 per cell]

## Properties
* uncorrected energy: -6.726 eV/atom
* DOS(E_F): 1.69 states/eV/atom
* total moment: 2.95 μB per cell
* DFT formation energy: -211 meV/atom